1.
DFT (GGA-PBE) results for crystalline Li2FeMo at its relaxed geometry.

Summary:
- mass density (kg/m³) = 4564
- formation energy from the elements (meV per atom) = 306
- energy (eV/f.u.) = -21.9
- ΔE to the lowest computed polymorph (meV/atom) = 75

Geometry as CIF:
```
data_Li2FeMo
_chemical_formula_sum 'Li2 Fe1 Mo1'
_space_group_name_H-M_alt 'P 4 m m'
_space_group_IT_number 99
_cell_length_a 2.951
_cell_length_b 2.951
_cell_length_c 6.923
_cell_angle_alpha 90.00
_cell_angle_beta 90.00
_cell_angle_gamma 90.00
loop_
_space_group_symop_operation_xyz
'x,y,z'
'-y,x,z'
'-x,-y,z'
'y,-x,z'
'-x,y,z'
'y,x,z'
'x,-y,z'
'-y,-x,z'
loop_
_atom_site_label
_atom_site_fract_x
_atom_site_fract_y
_atom_site_fract_z
Li1 0.000 0.000 0.000
Li2 0.500 0.500 0.287
Fe1 0.500 0.500 0.755
Mo1 0.000 0.000 0.579
```

***

2.
DFT (GGA-PBE) results for crystalline Ac3Zn at its relaxed geometry.

Summary:
- mass density (kg/m³) = 8443
- formation energy from the elements (meV per atom) = 65
- energy (eV/f.u.) = -13.3
- ΔE to the lowest computed polymorph (meV/atom) = 178

Geometry as CIF:
```
data_Ac3Zn
_chemical_formula_sum 'Ac6 Zn2'
_space_group_name_H-M_alt 'I 4/m m m'
_space_group_IT_number 139
_space_group_name_Hall '-I 4 2'
_cell_length_a 5.201
_cell_length_b 5.201
_cell_length_c 10.855
_cell_angle_alpha 90.00
_cell_angle_beta 90.00
_cell_angle_gamma 90.00
loop_
_atom_site_label
_atom_site_fract_x
_atom_site_fract_y
_atom_site_fract_z
Ac1 0.000 0.000 0.000
Ac2 0.000 0.500 0.250
Zn1 0.000 0.000 0.500
```

***

3.
DFT (GGA-PBE) results for crystalline Hf2ZrP3 at its relaxed geometry.

Summary:
- mass density (kg/m³) = 8259
- formation energy from the elements (meV per atom) = -1273
- energy (eV/f.u.) = -52.3

Geometry as CIF:
```
data_Hf2ZrP3
_chemical_formula_sum 'Hf8 Zr4 P12'
_space_group_name_H-M_alt 'P n m a'
_space_group_IT_number 62
_cell_length_a 7.442
_cell_length_b 5.241
_cell_length_c 11.158
_cell_angle_alpha 90.00
_cell_angle_beta 90.00
_cell_angle_gamma 90.00
loop_
_space_group_symop_operation_xyz
'x,y,z'
'-x,-y,-z'
'-x+1/2,-y,z+1/2'
'x+1/2,y,-z+1/2'
'x+1/2,-y+1/2,-z+1/2'
'-x+1/2,y+1/2,z+1/2'
'-x,y+1/2,-z'
'x,-y+1/2,z'
loop_
_atom_site_label
_atom_site_fract_x
_atom_site_fract_y
_atom_site_fract_z
Hf1 0.125 0.250 0.247
Hf2 0.126 0.250 0.583
Zr1 0.124 0.250 0.920
P1 0.121 0.750 0.585
P2 0.125 0.750 0.250
P3 0.129 0.750 0.915
```

***

4.
DFT (GGA-PBE) results for crystalline LaTb8C4 at its relaxed geometry.

Summary:
- mass density (kg/m³) = 7911
- formation energy from the elements (meV per atom) = -154
- energy (eV/f.u.) = -80.9

Geometry as CIF:
```
data_LaTb8C4
_chemical_formula_sum 'La2 Tb16 C8'
_space_group_name_H-M_alt 'C 1 m 1'
_space_group_IT_number 8
_cell_length_a 18.173
_cell_length_b 3.634
_cell_length_c 12.489
_cell_angle_alpha 90.00
_cell_angle_beta 132.08
_cell_angle_gamma 90.00
loop_
_space_group_symop_operation_xyz
'x,y,z'
'x,-y,z'
'x+1/2,y+1/2,z'
'x+1/2,-y+1/2,z'
loop_
_atom_site_label
_atom_site_fract_x
_atom_site_fract_y
_atom_site_fract_z
La1 0.000 0.000 0.000
Tb1 0.042 0.000 0.732
Tb2 0.139 0.500 0.598
Tb3 0.165 0.500 0.349
Tb4 0.207 0.500 0.066
Tb5 0.293 0.000 0.936
Tb6 0.335 0.000 0.651
Tb7 0.362 0.000 0.403
Tb8 0.459 0.500 0.269
C1 0.150 0.000 0.469
C2 0.168 0.500 0.827
C3 0.333 0.000 0.174
C4 0.351 0.500 0.532
```

***

5.
DFT (GGA-PBE) results for crystalline Pu2RhF at its relaxed geometry.

Summary:
- mass density (kg/m³) = 11876
- energy (eV/f.u.) = -42.5
- ΔE to the lowest computed polymorph (meV/atom) = 0

Geometry as CIF:
```
data_Pu2RhF
_chemical_formula_sum 'Pu6 Rh3 F3'
_space_group_name_H-M_alt 'R -3 m'
_space_group_IT_number 166
_space_group_name_Hall '-R 3 2"'
_cell_length_a 3.8924
_cell_length_b 3.8924
_cell_length_c 19.4979
_cell_angle_alpha 90.00
_cell_angle_beta 90.00
_cell_angle_gamma 120.00
loop_
_atom_site_label
_atom_site_fract_x
_atom_site_fract_y
_atom_site_fract_z
Pu1 0.0000 0.0000 0.2483
Rh1 0.0000 0.0000 0.0000
F1 0.0000 0.0000 0.5000
```

***

6.
DFT (GGA-PBE) results for crystalline SiSb2Br at its relaxed geometry.

Summary:
- mass density (kg/m³) = 5366
- energy (eV/f.u.) = -15.0
- ΔE to the lowest computed polymorph (meV/atom) = 0

Geometry as CIF:
```
data_SiSb2Br
_chemical_formula_sum 'Si2 Sb4 Br2'
_space_group_name_H-M_alt 'C 1 2/m 1'
_space_group_IT_number 12
_cell_length_a 7.806
_cell_length_b 3.951
_cell_length_c 7.347
_cell_angle_alpha 90.00
_cell_angle_beta 106.26
_cell_angle_gamma 90.00
loop_
_space_group_symop_operation_xyz
'x,y,z'
'-x,-y,-z'
'-x,y,-z'
'x,-y,z'
'x+1/2,y+1/2,z'
'-x+1/2,-y+1/2,-z'
'-x+1/2,y+1/2,-z'
'x+1/2,-y+1/2,z'
loop_
_atom_site_label
_atom_site_fract_x
_atom_site_fract_y
_atom_site_fract_z
Si1 0.000 0.000 0.000
Sb1 0.235 0.500 0.184
Br1 0.000 0.500 0.500
```

***

7.
DFT (GGA-PBE) results for crystalline MgMnTe2 at its relaxed geometry.

Summary:
- mass density (kg/m³) = 4294
- energy (eV/f.u.) = -17.5

Geometry as CIF:
```
data_MgMnTe2
_chemical_formula_sum 'Mg2 Mn2 Te4'
_space_group_name_H-M_alt 'C m m m'
_space_group_IT_number 65
_space_group_name_Hall '-C 2 2'
_cell_length_a 4.023
_cell_length_b 8.162
_cell_length_c 7.877
_cell_angle_alpha 90.00
_cell_angle_beta 90.00
_cell_angle_gamma 90.00
loop_
_atom_site_label
_atom_site_fract_x
_atom_site_fract_y
_atom_site_fract_z
Mg1 0.000 0.000 0.000
Mn1 0.000 0.000 0.500
Te1 0.000 0.500 0.258
```

***

8.
DFT (GGA-PBE) results for crystalline Ti2CdIn at its relaxed geometry.

Summary:
- mass density (kg/m³) = 7026
- formation energy from the elements (meV per atom) = 14
- energy (eV/f.u.) = -19.4

Geometry as CIF:
```
data_Ti2CdIn
_chemical_formula_sum 'Ti2 Cd1 In1'
_space_group_name_H-M_alt 'P 4/m m m'
_space_group_IT_number 123
_space_group_name_Hall '-P 4 2'
_cell_length_a 3.544
_cell_length_b 3.544
_cell_length_c 6.077
_cell_angle_alpha 90.00
_cell_angle_beta 90.00
_cell_angle_gamma 90.00
loop_
_atom_site_label
_atom_site_fract_x
_atom_site_fract_y
_atom_site_fract_z
Ti1 0.000 0.000 0.248
Cd1 0.500 0.500 0.000
In1 0.500 0.500 0.500
```

***

9.
DFT (GGA-PBE) results for crystalline La3Pd2I at its relaxed geometry.

Summary:
- mass density (kg/m³) = 7015
- energy (eV/f.u.) = -30.8

Geometry as CIF:
```
data_La3Pd2I
_chemical_formula_sum 'La12 Pd8 I4'
_space_group_name_H-M_alt 'C m c m'
_space_group_IT_number 63
_space_group_name_Hall '-C 2c 2'
_cell_length_a 4.849
_cell_length_b 14.535
_cell_length_c 10.162
_cell_angle_alpha 90.00
_cell_angle_beta 90.00
_cell_angle_gamma 90.00
loop_
_atom_site_label
_atom_site_fract_x
_atom_site_fract_y
_atom_site_fract_z
La1 0.000 0.109 0.250
La2 0.000 0.372 0.040
Pd1 0.000 0.000 0.000
Pd2 0.000 0.484 0.750
I1 0.000 0.220 0.750
```

***

10.
DFT (GGA-PBE) results for crystalline BaSi2Hg at its relaxed geometry.

Summary:
- mass density (kg/m³) = 5550
- energy (eV/f.u.) = -13.0

Geometry as CIF:
```
data_BaSi2Hg
_chemical_formula_sum 'Ba2 Si4 Hg2'
_space_group_name_H-M_alt 'I m m m'
_space_group_IT_number 71
_space_group_name_Hall '-I 2 2'
_cell_length_a 4.716
_cell_length_b 6.745
_cell_length_c 7.414
_cell_angle_alpha 90.00
_cell_angle_beta 90.00
_cell_angle_gamma 90.00
loop_
_atom_site_label
_atom_site_fract_x
_atom_site_fract_y
_atom_site_fract_z
Ba1 0.000 0.000 0.000
Si1 0.000 0.500 0.162
Hg1 0.000 0.000 0.500
```

***

11.
DFT (GGA-PBE) results for crystalline CoPHBr at its relaxed geometry.

Summary:
- mass density (kg/m³) = 4192
- energy (eV/f.u.) = -18.5
- ΔE to the lowest computed polymorph (meV/atom) = 0

Geometry as CIF:
```
data_CoPHBr
_chemical_formula_sum 'Co2 P2 H2 Br2'
_space_group_name_H-M_alt 'C 1 m 1'
_space_group_IT_number 8
_cell_length_a 5.862
_cell_length_b 3.384
_cell_length_c 7.087
_cell_angle_alpha 90.00
_cell_angle_beta 105.75
_cell_angle_gamma 90.00
loop_
_space_group_symop_operation_xyz
'x,y,z'
'x,-y,z'
'x+1/2,y+1/2,z'
'x+1/2,-y+1/2,z'
loop_
_atom_site_label
_atom_site_fract_x
_atom_site_fract_y
_atom_site_fract_z
Co1 0.000 0.000 0.000
P1 0.285 0.000 0.852
H1 0.216 0.000 0.643
Br1 0.244 0.500 0.236
```

***

12.
DFT (GGA-PBE) results for crystalline BeNbOs at its relaxed geometry.

Summary:
- mass density (kg/m³) = 12291
- formation energy from the elements (meV per atom) = -210
- energy (eV/f.u.) = -25.7
- ΔE to the lowest computed polymorph (meV/atom) = 218

Geometry as CIF:
```
data_BeNbOs
_chemical_formula_sum 'Be16 Nb16 Os16'
_space_group_name_H-M_alt 'F d d d'
_space_group_IT_number 70
_cell_length_a 4.758
_cell_length_b 8.245
_cell_length_c 16.097
_cell_angle_alpha 90.00
_cell_angle_beta 90.00
_cell_angle_gamma 90.00
loop_
_space_group_symop_operation_xyz
'x,y,z'
'-x,-y,-z'
'-x+1/4,-y+1/4,z'
'x+1/4,y+1/4,-z'
'x,-y+1/4,-z+1/4'
'-x,y+1/4,z+1/4'
'-x+1/4,y,-z+1/4'
'x+1/4,-y,z+1/4'
'x,y+1/2,z+1/2'
'-x,-y+1/2,-z+1/2'
'-x+1/4,-y+3/4,z+1/2'
'x+1/4,y+3/4,-z+1/2'
'x,-y+3/4,-z+3/4'
'-x,y+3/4,z+3/4'
'-x+1/4,y+1/2,-z+3/4'
'x+1/4,-y+1/2,z+3/4'
'x+1/2,y,z+1/2'
'-x+1/2,-y,-z+1/2'
'-x+3/4,-y+1/4,z+1/2'
'x+3/4,y+1/4,-z+1/2'
'x+1/2,-y+1/4,-z+3/4'
'-x+1/2,y+1/4,z+3/4'
'-x+3/4,y,-z+3/4'
'x+3/4,-y,z+3/4'
'x+1/2,y+1/2,z'
'-x+1/2,-y+1/2,-z'
'-x+3/4,-y+3/4,z'
'x+3/4,y+3/4,-z'
'x+1/2,-y+3/4,-z+1/4'
'-x+1/2,y+3/4,z+1/4'
'-x+3/4,y+1/2,-z+1/4'
'x+3/4,-y+1/2,z+1/4'
loop_
_atom_site_label
_atom_site_fract_x
_atom_site_fract_y
_atom_site_fract_z
Be1 0.125 0.125 0.000
Nb1 0.125 0.125 0.545
Os1 0.125 0.291 0.125
```

***

13.
DFT (GGA-PBE) results for crystalline Rb3ErAg2I8 at its relaxed geometry.

Summary:
- mass density (kg/m³) = 4114
- energy (eV/f.u.) = -40.2

Geometry as CIF:
```
data_Rb3ErAg2I8
_chemical_formula_sum 'Rb3 Er1 Ag2 I8'
_space_group_name_H-M_alt 'P -3 m 1'
_space_group_IT_number 164
_space_group_name_Hall '-P 3 2"'
_cell_length_a 8.5025
_cell_length_b 8.5025
_cell_length_c 10.6677
_cell_angle_alpha 90.00
_cell_angle_beta 90.00
_cell_angle_gamma 120.00
loop_
_atom_site_label
_atom_site_fract_x
_atom_site_fract_y
_atom_site_fract_z
Rb1 0.0000 0.0000 0.0000
Rb2 0.3333 0.6667 0.6081
Er1 0.0000 0.0000 0.5000
Ag1 0.3333 0.6667 0.1876
I1 0.1629 0.3258 0.3306
I2 0.3333 0.6667 0.9363
```

***

14.
DFT (GGA-PBE) results for crystalline Al4IrOs at its relaxed geometry.

Summary:
- mass density (kg/m³) = 9584
- formation energy from the elements (meV per atom) = 69
- energy (eV/f.u.) = -34.6

Geometry as CIF:
```
data_Al4IrOs
_chemical_formula_sum 'Al16 Ir4 Os4'
_space_group_name_H-M_alt 'F -4 3 m'
_space_group_IT_number 216
_space_group_name_Hall 'F -4 2 3'
_cell_length_a 6.979
_cell_length_b 6.979
_cell_length_c 6.979
_cell_angle_alpha 90.00
_cell_angle_beta 90.00
_cell_angle_gamma 90.00
loop_
_atom_site_label
_atom_site_fract_x
_atom_site_fract_y
_atom_site_fract_z
Al1 0.125 0.125 0.125
Ir1 0.250 0.250 0.750
Os1 0.000 0.000 0.500
```

***

15.
DFT (GGA-PBE) results for crystalline BiAuBrN2 at its relaxed geometry.

Summary:
- mass density (kg/m³) = 6959
- energy (eV/f.u.) = -17.6

Geometry as CIF:
```
data_BiAuBrN2
_chemical_formula_sum 'Bi1 Au1 Br1 N2'
_space_group_name_H-M_alt 'P 4/m m m'
_space_group_IT_number 123
_space_group_name_Hall '-P 4 2'
_cell_length_a 4.263
_cell_length_b 4.263
_cell_length_c 6.747
_cell_angle_alpha 90.00
_cell_angle_beta 90.00
_cell_angle_gamma 90.00
loop_
_atom_site_label
_atom_site_fract_x
_atom_site_fract_y
_atom_site_fract_z
Bi1 0.000 0.000 0.000
Au1 0.500 0.500 0.500
Br1 0.000 0.000 0.500
N1 0.000 0.500 0.000
```

***

16.
DFT (GGA-PBE) results for crystalline CaPrZn4 at its relaxed geometry.

Summary:
- mass density (kg/m³) = 5497
- formation energy from the elements (meV per atom) = -315
- energy (eV/f.u.) = -13.8
- ΔE to the lowest computed polymorph (meV/atom) = 0

Geometry as CIF:
```
data_CaPrZn4
_chemical_formula_sum 'Ca2 Pr2 Zn8'
_space_group_name_H-M_alt 'I m m m'
_space_group_IT_number 71
_space_group_name_Hall '-I 2 2'
_cell_length_a 4.565
_cell_length_b 7.536
_cell_length_c 7.772
_cell_angle_alpha 90.00
_cell_angle_beta 90.00
_cell_angle_gamma 90.00
loop_
_atom_site_label
_atom_site_fract_x
_atom_site_fract_y
_atom_site_fract_z
Ca1 0.000 0.000 0.000
Pr1 0.000 0.500 0.000
Zn1 0.000 0.242 0.333
```

***

17.
DFT (GGA-PBE) results for crystalline Cs2SiHgTe4 at its relaxed geometry.

Summary:
- mass density (kg/m³) = 4621
- energy (eV/f.u.) = -24.4

Geometry as CIF:
```
data_Cs2SiHgTe4
_chemical_formula_sum 'Cs16 Si8 Hg8 Te32'
_space_group_name_H-M_alt 'F d d d'
_space_group_IT_number 70
_cell_length_a 7.068
_cell_length_b 14.994
_cell_length_c 27.261
_cell_angle_alpha 90.00
_cell_angle_beta 90.00
_cell_angle_gamma 90.00
loop_
_space_group_symop_operation_xyz
'x,y,z'
'-x,-y,-z'
'-x+1/4,-y+1/4,z'
'x+1/4,y+1/4,-z'
'x,-y+1/4,-z+1/4'
'-x,y+1/4,z+1/4'
'-x+1/4,y,-z+1/4'
'x+1/4,-y,z+1/4'
'x,y+1/2,z+1/2'
'-x,-y+1/2,-z+1/2'
'-x+1/4,-y+3/4,z+1/2'
'x+1/4,y+3/4,-z+1/2'
'x,-y+3/4,-z+3/4'
'-x,y+3/4,z+3/4'
'-x+1/4,y+1/2,-z+3/4'
'x+1/4,-y+1/2,z+3/4'
'x+1/2,y,z+1/2'
'-x+1/2,-y,-z+1/2'
'-x+3/4,-y+1/4,z+1/2'
'x+3/4,y+1/4,-z+1/2'
'x+1/2,-y+1/4,-z+3/4'
'-x+1/2,y+1/4,z+3/4'
'-x+3/4,y,-z+3/4'
'x+3/4,-y,z+3/4'
'x+1/2,y+1/2,z'
'-x+1/2,-y+1/2,-z'
'-x+3/4,-y+3/4,z'
'x+3/4,y+3/4,-z'
'x+1/2,-y+3/4,-z+1/4'
'-x+1/2,y+3/4,z+1/4'
'-x+3/4,y+1/2,-z+1/4'
'x+3/4,-y+1/2,z+1/4'
loop_
_atom_site_label
_atom_site_fract_x
_atom_site_fract_y
_atom_site_fract_z
Cs1 0.125 0.125 0.308
Si1 0.125 0.125 0.625
Hg1 0.125 0.125 0.125
Te1 0.088 0.279 0.821
```

***

18.
DFT (GGA-PBE) results for crystalline Sr3LiRh at its relaxed geometry.

Summary:
- mass density (kg/m³) = 2795
- formation energy from the elements (meV per atom) = 240
- energy (eV/f.u.) = -13.1
- ΔE to the lowest computed polymorph (meV/atom) = 387

Geometry as CIF:
```
data_Sr3LiRh
_chemical_formula_sum 'Sr12 Li4 Rh4'
_space_group_name_H-M_alt 'I -4 m 2'
_space_group_IT_number 119
_space_group_name_Hall 'I -4 -2'
_cell_length_a 6.760
_cell_length_b 6.760
_cell_length_c 19.379
_cell_angle_alpha 90.00
_cell_angle_beta 90.00
_cell_angle_gamma 90.00
loop_
_atom_site_label
_atom_site_fract_x
_atom_site_fract_y
_atom_site_fract_z
Sr1 0.000 0.000 0.209
Sr2 0.000 0.254 0.614
Li1 0.000 0.500 0.052
Rh1 0.000 0.000 0.500
Rh2 0.000 0.500 0.750
```